# 1
The following is a PBE calculation of a relaxed structure of BeCdS2Br, from the Alexandria database.

a b c (Å): 5.0395 5.0395 4.9016
angles (deg): 90.00 90.00 90.00
Element x y z (fractional)
Be1 0.0000 0.0000 0.0000
Cd1 0.0000 0.0000 0.5000
S1 0.0000 0.5000 0.5000
S2 0.5000 0.0000 0.5000
Br1 0.5000 0.5000 0.0000

The space group is P4/mmm. As for the total energy: -1.9658 eV per atom. The value obtained for the uncorrected formation energy is 0.948 eV/atom.

# 2
The following is a PBE calculation of a relaxed structure of Dy2CO, from the Alexandria database.

a b c (Å): 3.8119 3.8119 20.0522
angles (deg): 90.00 90.00 120.00
Element x y z (fractional)
Dy1 0.0000 0.0000 0.1022
Dy2 0.0000 0.0000 0.8978
Dy3 0.3333 0.6667 0.5645
Dy4 0.3333 0.6667 0.7688
Dy5 0.6667 0.3333 0.2312
Dy6 0.6667 0.3333 0.4355
C1 0.0000 0.0000 0.5000
C2 0.3333 0.6667 0.1667
C3 0.6667 0.3333 0.8333
O1 0.0000 0.0000 0.0000
O2 0.3333 0.6667 0.6667
O3 0.6667 0.3333 0.3333

Its distance to the lowest polymorph of the same formula is 0.4619 eV per atom. The space group is R-3m. As for the total energy: -7.1157 eV per atom. The value obtained for the uncorrected formation energy is -1.269 eV/atom.

# 3
The following is a PBE calculation of a relaxed structure of Ce2PdSe3, from the Alexandria database.

a b c (Å): 3.8695 4.7839 15.9397
angles (deg): 90.00 90.00 90.00
Element x y z (fractional)
Ce1 0.0000 0.0000 0.1389
Ce2 0.0000 0.0000 0.8611
Ce3 0.5000 0.5000 0.3611
Ce4 0.5000 0.5000 0.6389
Pd1 0.0000 0.0000 0.5000
Pd2 0.5000 0.5000 0.0000
Se1 0.0000 0.0000 0.3268
Se2 0.0000 0.0000 0.6732
Se3 0.0000 0.5000 0.5000
Se4 0.5000 0.0000 0.0000
Se5 0.5000 0.5000 0.1732
Se6 0.5000 0.5000 0.8268

Its distance to the lowest polymorph of the same formula is 0.1031 eV per atom. The space group is Immm. As for the total energy: -5.9861 eV per atom. The value obtained for the uncorrected formation energy is -1.400 eV/atom.

# 4
The following is a PBE calculation of a relaxed structure of CoIr2W, from the Alexandria database.

a b c (Å): 3.8581 3.8581 7.5431
angles (deg): 90.00 90.00 90.00
Element x y z (fractional)
Co1 0.0000 0.0000 0.0000
Co2 0.5000 0.5000 0.5000
Ir1 0.0000 0.5000 0.2500
Ir2 0.0000 0.5000 0.7500
Ir3 0.5000 0.0000 0.2500
Ir4 0.5000 0.0000 0.7500
W1 0.0000 0.0000 0.5000
W2 0.5000 0.5000 0.0000

Its distance to the lowest polymorph of the same formula is 0.0000 eV per atom. The space group is I4/mmm. As for the total energy: -9.6596 eV per atom. The formation energy comes out at -0.214 eV/atom.

# 5
The following is a PBE calculation of a relaxed structure of Sn2Hg2Pt, from the Alexandria database.

a b c (Å): 7.3147 7.3147 4.4855
angles (deg): 90.00 90.00 90.00
Element x y z (fractional)
Sn1 0.1692 0.3308 0.0000
Sn2 0.3308 0.8308 0.0000
Sn3 0.6692 0.1692 0.0000
Sn4 0.8308 0.6692 0.0000
Hg1 0.1449 0.6449 0.5000
Hg2 0.3551 0.1449 0.5000
Hg3 0.6449 0.8551 0.5000
Hg4 0.8551 0.3551 0.5000
Pt1 0.0000 0.0000 0.5000
Pt2 0.5000 0.5000 0.5000

Its distance to the lowest polymorph of the same formula is 0.2106 eV per atom. The space group is P4/mbm. As for the total energy: -2.7556 eV per atom. The formation energy comes out at 0.174 eV/atom.

# 6
The following is a PBE calculation of a relaxed structure of AlSb, from the Alexandria database.

a b c (Å): 3.9462 3.9488 12.3384
angles (deg): 90.00 90.00 90.00
Element x y z (fractional)
Al1 0.0000 0.2500 0.0793
Al2 0.0000 0.7500 0.9207
Al3 0.5000 0.2500 0.4207
Al4 0.5000 0.7500 0.5793
Sb1 0.0000 0.2500 0.6471
Sb2 0.0000 0.7500 0.3529
Sb3 0.5000 0.2500 0.8529
Sb4 0.5000 0.7500 0.1471

The space group is Imma. As for the total energy: -3.7536 eV per atom. The value obtained for the uncorrected formation energy is 0.179 eV/atom.

Copy entry 1 word for word.
The following is a PBE calculation of a relaxed structure of BeCdS2Br, from the Alexandria database.

a b c (Å): 5.0395 5.0395 4.9016
angles (deg): 90.00 90.00 90.00
Element x y z (fractional)
Be1 0.0000 0.0000 0.0000
Cd1 0.0000 0.0000 0.5000
S1 0.0000 0.5000 0.5000
S2 0.5000 0.0000 0.5000
Br1 0.5000 0.5000 0.0000

The space group is P4/mmm. As for the total energy: -1.9658 eV per atom. The value obtained for the uncorrected formation energy is 0.948 eV/atom.